A plane-wave DFT calculation with PBE was carried out for a relaxed structure of InTcW2.

```
InTcW2
1.0
-2.557 1.170 -0.317
0.556 -1.810 -2.102
-3.692 -6.755 4.839
In Tc W
1 1 2
Direct
0.000 0.000 0.505
0.500 0.500 0.765
0.000 0.000 0.996
0.500 0.500 0.234
```

**Energy of formation from the pure elements**: 0.324 eV per atom
**E above lowest polymorph**: 36 meV per atom
**E_tot**: -37.7 eV per formula unit
**Calculated volume**: 68.0 Å³/cell
**Magnetization**: 0.0 μB/cell
**Symmetry**: No. 35

---

A plane-wave DFT calculation with PBE was carried out for a relaxed structure of HoMnNi2.

```
HoMnNi2
1.0
4.463 0.000 0.000
2.232 3.865 0.000
2.232 1.288 3.644
Ni Mn Ho
2 1 1
Direct
0.250 0.250 0.250
0.750 0.750 0.750
0.500 0.500 0.500
0.000 0.000 0.000
```

**Energy of formation from the pure elements**: -0.147 eV per atom
**E_tot**: -25.9 eV per formula unit
**Calculated volume**: 62.9 Å³/cell
**Magnetization**: 4.5 μB/cell
**Symmetry**: No. 225

---

A plane-wave DFT calculation with PBE was carried out for a relaxed structure of GeOsAu2.

```
GeOsAu2
1.0
-0.065 2.155 3.101
-3.272 1.516 -1.123
-6.657 -5.325 5.861
Os Ge Au
2 2 4
Direct
0.000 0.000 0.000
0.750 0.250 0.500
0.500 0.500 0.000
0.250 0.750 0.500
0.628 0.125 0.250
0.122 0.625 0.250
0.375 0.372 0.750
0.875 0.878 0.750
```

**Energy of formation from the pure elements**: 0.591 eV per atom
**E_tot**: -20.0 eV per formula unit
**Calculated volume**: 142.6 Å³/cell
**Magnetization**: 1.2 μB/cell
**Symmetry**: No. 122